Record 1
Below is a geometry-optimized PrNd4HoTm2 structure, with properties calculated at the PBE level.

Values from the calculation:
Mass density ... 7.58 g/cm³
E ... -4.655 eV/atom
Crystal system ... orthorhombic
Formation enthalpy at 0 K ... 0.017 eV/atom

Geometry as POSCAR:
```
PrNd4HoTm2
1.0
5.1448 0.0000 0.0000
0.0000 5.0395 0.9114
0.0001 3.2357 10.8968
Ho Pr Nd Tm
1 1 4 2
Cartesian
2.5724 2.5198 0.4557
0.0000 4.1376 5.9041
5.1448 2.0751 2.9184
2.5724 4.5923 3.3808
2.5724 3.6830 8.4274
0.0001 6.2001 8.8897
0.0001 3.2357 10.8968
2.5724 1.6179 5.4484
```

---

Record 2
Below is a geometry-optimized LiTeCl2 structure, with properties calculated at the PBE level.

Values from the calculation:
Raw formation energy ... -0.55 eV/atom
Mass density ... 3.58 g/cm³
E ... -2.734 eV/atom
Crystal system ... tetragonal
Relative energy among the computed polymorphs ... 402 meV per atom

Geometry as POSCAR:
```
LiTeCl2
1.0
7.2520 0.0000 0.0000
0.0000 7.2520 0.0000
3.6260 3.6260 3.6247
Cl Te Li
4 2 2
Cartesian
2.2194 5.4390 0.9062
5.0326 1.8130 0.9062
5.4390 5.8454 2.7185
9.0650 8.6587 2.7185
7.2520 3.6260 1.8123
0.0000 0.0000 0.0000
3.6260 3.6260 0.0000
3.6260 7.2520 1.8123
```

---

Record 3
Below is a geometry-optimized Dy2ZnPPt6 structure, with properties calculated at the PBE level.

Values from the calculation:
Mass density ... 13.71 g/cm³
E ... -6.075 eV/atom
Crystal system ... orthorhombic
Formation enthalpy at 0 K ... -0.862 eV/atom

Geometry as POSCAR:
```
Dy2ZnPPt6
1.0
5.5522 0.0000 0.0000
0.0000 8.0527 0.0000
0.0000 0.0000 8.6221
P Pt Dy Zn
2 12 4 2
Cartesian
0.0000 6.1802 0.0000
2.7761 1.8725 4.3110
2.7761 0.9390 2.1796
4.1910 3.6697 4.3110
1.4149 4.3830 0.0000
4.1373 4.3830 0.0000
1.3951 0.1285 0.0000
1.3809 7.9242 4.3110
2.7761 0.9390 6.4425
4.1712 7.9242 4.3110
1.3612 3.6697 4.3110
0.0000 7.1137 6.4906
0.0000 7.1137 2.1314
4.1570 0.1285 0.0000
0.0000 2.1643 6.6273
0.0000 2.1643 1.9947
2.7761 5.8884 6.3058
2.7761 5.8884 2.3163
2.7761 2.3072 0.0000
0.0000 5.7455 4.3110
```

---

Record 4
Below is a geometry-optimized K2YMg structure, with properties calculated at the PBE level.

Values from the calculation:
Mass density ... 1.91 g/cm³
E ... -2.131 eV/atom
Crystal system ... tetragonal
Formation enthalpy at 0 K ... 0.432 eV/atom

Geometry as POSCAR:
```
K2YMg
1.0
3.6107 0.0000 0.0000
0.0000 3.6107 0.0000
0.0000 0.0000 12.7703
K Y Mg
2 1 1
Cartesian
0.0000 0.0000 6.1354
0.0000 0.0000 0.2498
1.8054 1.8054 9.5777
1.8054 1.8054 3.1926
```

---

Record 5
Below is a geometry-optimized CrInSN2 structure, with properties calculated at the PBE level.

Values from the calculation:
Raw formation energy ... 1.42 eV/atom
Mass density ... 4.07 g/cm³
E ... -5.208 eV/atom
Crystal system ... tetragonal
Relative energy among the computed polymorphs ... 1109 meV per atom

Geometry as POSCAR:
```
CrInSN2
1.0
4.1750 0.0000 0.0000
0.0000 4.1750 0.0000
0.0000 0.0000 5.3106
N Cr S In
2 1 1 1
Cartesian
2.0875 0.0000 0.0000
0.0000 2.0875 0.0000
2.0875 2.0875 2.6553
0.0000 0.0000 2.6553
0.0000 0.0000 0.0000
```

---

Record 6
Below is a geometry-optimized MnCr2Tc structure, with properties calculated at the PBE level.

Values from the calculation:
Mass density ... 8.36 g/cm³
E ... -9.613 eV/atom
Crystal system ... cubic
Formation enthalpy at 0 K ... 0.083 eV/atom
Relative energy among the computed polymorphs ... 29 meV per atom

Geometry as POSCAR:
```
MnCr2Tc
1.0
-2.2210 -1.0243 -3.3703
-0.4853 -4.0040 -1.0359
-3.7172 -1.8267 0.4321
Cr Tc Mn
2 1 1
Cartesian
-1.6059 -1.7138 -0.9935
0.0000 0.0000 0.0000
-4.8176 -5.1413 -2.9805
-3.2117 -3.4275 -1.9870
```

---

Record 7
Below is a geometry-optimized Zn2PdPb structure, with properties calculated at the PBE level.

Values from the calculation:
Mass density ... 9.04 g/cm³
E ... -2.870 eV/atom
Crystal system ... tetragonal
Formation enthalpy at 0 K ... -0.007 eV/atom
Relative energy among the computed polymorphs ... 130 meV per atom

Geometry as POSCAR:
```
Zn2PdPb
1.0
4.1936 0.0000 0.0000
0.0000 4.1936 0.0000
2.0968 2.0968 9.2800
Zn Pd Pb
4 2 2
Cartesian
1.3387 3.1452 2.3200
3.1452 3.4355 6.9600
5.2420 4.9517 6.9600
2.8549 1.0484 2.3200
2.0968 4.1936 4.6400
2.0968 2.0968 0.0000
4.1936 2.0968 4.6400
0.0000 0.0000 0.0000
```

---

Record 8
Below is a geometry-optimized Li2Hf2TiPd5 structure, with properties calculated at the PBE level.

Values from the calculation:
Mass density ... 10.20 g/cm³
E ... -6.260 eV/atom
Crystal system ... tetragonal
Formation enthalpy at 0 K ... -0.501 eV/atom

Geometry as POSCAR:
```
Li2Hf2TiPd5
1.0
3.4076 0.0000 0.0000
0.0000 9.5333 0.0000
0.0000 0.0000 9.5333
Pd Ti Hf Li
10 2 4 4
Cartesian
1.7038 0.0000 4.7666
1.7038 6.7059 4.1702
1.7038 1.9392 0.5964
1.7038 5.3631 6.7059
1.7038 8.9369 1.9392
1.7038 4.1702 2.8274
1.7038 0.5964 7.5940
1.7038 7.5940 8.9369
1.7038 2.8274 5.3631
1.7038 4.7666 0.0000
0.0000 4.7666 4.7666
0.0000 0.0000 0.0000
0.0000 3.0913 7.8579
0.0000 6.4420 1.6754
0.0000 1.6754 3.0913
0.0000 7.8579 6.4420
0.0000 5.9416 8.3583
0.0000 1.1749 5.9416
0.0000 3.5917 1.1749
0.0000 8.3583 3.5917
```

---

Copy entry 6 word for word.
Below is a geometry-optimized MnCr2Tc structure, with properties calculated at the PBE level.

Values from the calculation:
Mass density ... 8.36 g/cm³
E ... -9.613 eV/atom
Crystal system ... cubic
Formation enthalpy at 0 K ... 0.083 eV/atom
Relative energy among the computed polymorphs ... 29 meV per atom

Geometry as POSCAR:
```
MnCr2Tc
1.0
-2.2210 -1.0243 -3.3703
-0.4853 -4.0040 -1.0359
-3.7172 -1.8267 0.4321
Cr Tc Mn
2 1 1
Cartesian
-1.6059 -1.7138 -0.9935
0.0000 0.0000 0.0000
-4.8176 -5.1413 -2.9805
-3.2117 -3.4275 -1.9870
```

---

Q: Look up the mass density of the second one.
A: 3.58 g/cm³